K12Ag3O5 | PBE-GGA | optimized geometry

a b c (Å): 15.1711 15.1711 15.1711
angles (deg): 109.47 109.47 109.47
Element x y z (fractional)
K1 0.0067 0.1880 0.1075
K2 0.0067 0.3187 0.8992
K3 0.0805 0.6880 0.6813
K4 0.0805 0.8925 0.3992
K5 0.1008 0.6075 0.4195
K6 0.1008 0.9933 0.6813
K7 0.1075 0.0067 0.1880
K8 0.1075 0.6008 0.9195
K9 0.1813 0.1880 0.5805
K10 0.1813 0.4933 0.6008
K11 0.1880 0.1075 0.0067
K12 0.1880 0.5805 0.1813
K13 0.3120 0.3187 0.9195
K14 0.3120 0.4933 0.3925
K15 0.3187 0.8992 0.0067
K16 0.3187 0.9195 0.3120
K17 0.3925 0.3120 0.4933
K18 0.3925 0.5805 0.8992
K19 0.3992 0.0805 0.8925
K20 0.3992 0.8187 0.5067
K21 0.4195 0.1008 0.6075
K22 0.4195 0.8187 0.8120
K23 0.4933 0.3925 0.3120
K24 0.4933 0.6008 0.1813
K25 0.5067 0.3992 0.8187
K26 0.5067 0.6075 0.6880
K27 0.5805 0.1813 0.1880
K28 0.5805 0.8992 0.3925
K29 0.6008 0.1813 0.4933
K30 0.6008 0.9195 0.1075
K31 0.6075 0.4195 0.1008
K32 0.6075 0.6880 0.5067
K33 0.6813 0.0805 0.6880
K34 0.6813 0.1008 0.9933
K35 0.6880 0.5067 0.6075
K36 0.6880 0.6813 0.0805
K37 0.8120 0.4195 0.8187
K38 0.8120 0.8925 0.9933
K39 0.8187 0.5067 0.3992
K40 0.8187 0.8120 0.4195
K41 0.8925 0.3992 0.0805
K42 0.8925 0.9933 0.8120
K43 0.8992 0.0067 0.3187
K44 0.8992 0.3925 0.5805
K45 0.9195 0.1075 0.6008
K46 0.9195 0.3120 0.3187
K47 0.9933 0.6813 0.1008
K48 0.9933 0.8120 0.8925
Ag1 0.1250 0.2500 0.3750
Ag2 0.1250 0.3750 0.7500
Ag3 0.2500 0.3750 0.1250
Ag4 0.2500 0.8750 0.6250
Ag5 0.3750 0.1250 0.2500
Ag6 0.3750 0.7500 0.1250
Ag7 0.6250 0.2500 0.8750
Ag8 0.6250 0.8750 0.7500
Ag9 0.7500 0.1250 0.3750
Ag10 0.7500 0.6250 0.8750
Ag11 0.8750 0.6250 0.2500
Ag12 0.8750 0.7500 0.6250
O1 0.0000 0.0000 0.0000
O2 0.0000 0.0000 0.5000
O3 0.0000 0.5000 0.0000
O4 0.0000 0.5000 0.5000
O5 0.1250 0.7500 0.8750
O6 0.1250 0.8750 0.2500
O7 0.2500 0.1250 0.8750
O8 0.2500 0.6250 0.3750
O9 0.3750 0.2500 0.6250
O10 0.3750 0.6250 0.7500
O11 0.5000 0.0000 0.0000
O12 0.5000 0.0000 0.5000
O13 0.5000 0.5000 0.0000
O14 0.5000 0.5000 0.5000
O15 0.6250 0.3750 0.2500
O16 0.6250 0.7500 0.3750
O17 0.7500 0.3750 0.6250
O18 0.7500 0.8750 0.1250
O19 0.8750 0.1250 0.7500
O20 0.8750 0.2500 0.1250

Values from the calculation:
- VASP energy (eV per cell) = -236.77
- total magnetization (μB/f.u.) = 1.14
- E_form (uncorrected) (eV/atom) = -0.63



KAg2O | PBE-GGA | optimized geometry

a b c (Å): 7.7638 7.7638 7.7638
angles (deg): 136.00 136.00 63.98
Element x y z (fractional)
K1 0.3750 0.6250 0.7500
K2 0.6250 0.3750 0.2500
Ag1 0.0000 0.0000 0.0000
Ag2 0.0000 0.0000 0.5000
Ag3 0.0000 0.5000 0.0000
Ag4 0.5000 0.0000 0.5000
O1 0.1250 0.8750 0.2500
O2 0.8750 0.1250 0.7500

Values from the calculation:
- VASP energy (eV per cell) = -24.76
- total magnetization (μB/f.u.) = 0.00
- E_form (uncorrected) (eV/atom) = -0.16



KAg2O | PBE-GGA | optimized geometry

a b c (Å): 6.2203 6.2203 6.2203
angles (deg): 41.62 41.62 41.62
Element x y z (fractional)
K1 0.0000 0.0000 0.0000
Ag1 0.1909 0.1909 0.1909
Ag2 0.8091 0.8091 0.8091
O1 0.5000 0.5000 0.5000

Values from the calculation:
- VASP energy (eV per cell) = -11.62
- total magnetization (μB/f.u.) = 0.00
- E_form (uncorrected) (eV/atom) = 0.03



KAgO2 | PBE-GGA | optimized geometry

a b c (Å): 4.3490 4.3490 4.3490
angles (deg): 60.00 60.00 60.00
Element x y z (fractional)
K1 0.0000 0.0000 0.0000
Ag1 0.5000 0.5000 0.5000
O1 0.2500 0.2500 0.2500
O2 0.7500 0.7500 0.7500

Values from the calculation:
- VASP energy (eV per cell) = -14.00
- total magnetization (μB/f.u.) = 2.00
- E_form (uncorrected) (eV/atom) = -0.03



K5Ag2O | PBE-GGA | optimized geometry

a b c (Å): 9.9606 7.6743 15.4181
angles (deg): 90.00 90.00 90.00
Element x y z (fractional)
K1 0.0000 0.0000 0.0000
K2 0.0000 0.5000 0.0000
K3 0.0404 0.2500 0.1984
K4 0.1679 0.5057 0.6102
K5 0.1679 0.9943 0.6102
K6 0.2264 0.7500 0.3987
K7 0.2736 0.2500 0.8987
K8 0.3321 0.0057 0.1102
K9 0.3321 0.4943 0.1102
K10 0.4596 0.7500 0.6984
K11 0.5000 0.0000 0.5000
K12 0.5000 0.5000 0.5000
K13 0.5404 0.2500 0.3016
K14 0.6679 0.5057 0.8898
K15 0.6679 0.9943 0.8898
K16 0.7264 0.7500 0.1013
K17 0.7736 0.2500 0.6013
K18 0.8321 0.0057 0.3898
K19 0.8321 0.4943 0.3898
K20 0.9596 0.7500 0.8016
Ag1 0.0358 0.7500 0.2096
Ag2 0.1854 0.2500 0.4096
Ag3 0.3146 0.7500 0.9096
Ag4 0.4642 0.2500 0.7096
Ag5 0.5358 0.7500 0.2904
Ag6 0.6854 0.2500 0.0904
Ag7 0.8146 0.7500 0.5904
Ag8 0.9642 0.2500 0.7904
O1 0.1753 0.2500 0.0568
O2 0.3247 0.7500 0.5568
O3 0.6753 0.2500 0.4432
O4 0.8247 0.7500 0.9432

Values from the calculation:
- VASP energy (eV per cell) = -76.06
- total magnetization (μB/f.u.) = 0.00
- E_form (uncorrected) (eV/atom) = -0.36



K4AgO2 | PBE-GGA | optimized geometry

a b c (Å): 8.3585 8.3585 8.3585
angles (deg): 35.36 35.36 35.36
Element x y z (fractional)
K1 0.1018 0.1018 0.1018
K2 0.2936 0.2936 0.2936
K3 0.7064 0.7064 0.7064
K4 0.8982 0.8982 0.8982
Ag1 0.5000 0.5000 0.5000
O1 0.4076 0.4076 0.4076
O2 0.5924 0.5924 0.5924

Values from the calculation:
- VASP energy (eV per cell) = -21.90
- total magnetization (μB/f.u.) = 0.26
- E_form (uncorrected) (eV/atom) = -0.68



K2AgO3 | PBE-GGA | optimized geometry

a b c (Å): 6.2794 6.2794 8.3622
angles (deg): 90.00 90.00 120.00
Element x y z (fractional)
K1 0.0000 0.0000 0.0000
K2 0.0000 0.0000 0.5000
K3 0.3333 0.6667 0.2500
K4 0.6667 0.3333 0.7500
Ag1 0.3333 0.6667 0.7500
Ag2 0.6667 0.3333 0.2500
O1 0.1567 0.3134 0.7500
O2 0.1567 0.8433 0.7500
O3 0.3134 0.1567 0.2500
O4 0.6866 0.8433 0.7500
O5 0.8433 0.1567 0.2500
O6 0.8433 0.6866 0.2500

Values from the calculation:
- VASP energy (eV per cell) = -45.14
- total magnetization (μB/f.u.) = 0.00
- E_form (uncorrected) (eV/atom) = -0.44



KAgO2 | PBE-GGA | optimized geometry

a b c (Å): 6.9783 6.9783 6.9783
angles (deg): 28.66 28.66 28.66
Element x y z (fractional)
K1 0.0000 0.0000 0.0000
Ag1 0.5000 0.5000 0.5000
O1 0.1201 0.1201 0.1201
O2 0.8799 0.8799 0.8799

Values from the calculation:
- VASP energy (eV per cell) = -14.53
- total magnetization (μB/f.u.) = 0.00
- E_form (uncorrected) (eV/atom) = -0.17



K8Ag2O | PBE-GGA | optimized geometry

a b c (Å): 8.4754 8.4754 8.9620
angles (deg): 90.56 90.56 55.55
Element x y z (fractional)
K1 0.1700 0.1700 0.9047
K2 0.1887 0.7341 0.7963
K3 0.2659 0.8113 0.2037
K4 0.3148 0.3148 0.4238
K5 0.6852 0.6852 0.5762
K6 0.7341 0.1887 0.7963
K7 0.8113 0.2659 0.2037
K8 0.8300 0.8300 0.0953
Ag1 0.0936 0.0936 0.5297
Ag2 0.9064 0.9064 0.4703
O1 0.0000 0.0000 0.0000

Values from the calculation:
- VASP energy (eV per cell) = -22.39
- total magnetization (μB/f.u.) = 0.00
- E_form (uncorrected) (eV/atom) = -0.27



KAg2O4 | PBE-GGA | optimized geometry

a b c (Å): 6.9514 6.9514 6.9514
angles (deg): 122.60 122.60 85.56
Element x y z (fractional)
K1 0.3750 0.1250 0.2500
K2 0.6250 0.8750 0.7500
Ag1 0.0000 0.0000 0.5000
Ag2 0.0000 0.5000 0.0000
Ag3 0.0000 0.5000 0.5000
Ag4 0.5000 0.5000 0.0000
O1 0.0378 0.1709 0.3577
O2 0.1801 0.5378 0.3669
O3 0.3132 0.6801 0.1423
O4 0.3291 0.1868 0.8669
O5 0.6709 0.8132 0.1331
O6 0.6868 0.3199 0.8577
O7 0.8199 0.4622 0.6331
O8 0.9622 0.8291 0.6423

Values from the calculation:
- VASP energy (eV per cell) = -57.22
- total magnetization (μB/f.u.) = 1.01
- E_form (uncorrected) (eV/atom) = -0.28



K3AgO3 | PBE-GGA | optimized geometry

a b c (Å): 8.0423 8.0423 5.5750
angles (deg): 90.00 90.00 120.00
Element x y z (fractional)
K1 0.0881 0.7300 0.2500
K2 0.2700 0.3580 0.2500
K3 0.3580 0.0881 0.7500
K4 0.6420 0.9119 0.2500
K5 0.7300 0.6420 0.7500
K6 0.9119 0.2700 0.7500
Ag1 0.3333 0.6667 0.7500
Ag2 0.6667 0.3333 0.2500
O1 0.0997 0.7022 0.7500
O2 0.2978 0.3975 0.7500
O3 0.3975 0.0997 0.2500
O4 0.6025 0.9003 0.7500
O5 0.7022 0.6025 0.2500
O6 0.9003 0.2978 0.2500

Values from the calculation:
- VASP energy (eV per cell) = -53.29
- total magnetization (μB/f.u.) = 2.12
- E_form (uncorrected) (eV/atom) = -0.80



KAg2O3 | PBE-GGA | optimized geometry

a b c (Å): 4.1817 11.2323 4.8626
angles (deg): 90.00 90.00 90.00
Element x y z (fractional)
K1 0.2500 0.2500 0.1529
K2 0.7500 0.7500 0.8471
Ag1 0.2500 0.5934 0.3720
Ag2 0.2500 0.9066 0.3720
Ag3 0.7500 0.0934 0.6280
Ag4 0.7500 0.4066 0.6280
O1 0.2500 0.0725 0.5643
O2 0.2500 0.4275 0.5643
O3 0.2500 0.7500 0.1636
O4 0.7500 0.2500 0.8364
O5 0.7500 0.5725 0.4357
O6 0.7500 0.9275 0.4357

Values from the calculation:
- VASP energy (eV per cell) = -48.40
- total magnetization (μB/f.u.) = 0.00
- E_form (uncorrected) (eV/atom) = -0.42



Which of these has the lowest E_form (uncorrected)? K3AgO3



What is the formula in the fifth record? K5Ag2O



What did the third record say?
KAg2O | PBE-GGA | optimized geometry

a b c (Å): 6.2203 6.2203 6.2203
angles (deg): 41.62 41.62 41.62
Element x y z (fractional)
K1 0.0000 0.0000 0.0000
Ag1 0.1909 0.1909 0.1909
Ag2 0.8091 0.8091 0.8091
O1 0.5000 0.5000 0.5000

Values from the calculation:
- VASP energy (eV per cell) = -11.62
- total magnetization (μB/f.u.) = 0.00
- E_form (uncorrected) (eV/atom) = 0.03